VASP calculation (PBE) on a relaxed P2PbSe crystal.

Calculated values
E above lowest polymorph	0.490	eV/atom
formation energy (no corrections)	0.471	eV per atom
calculated total energy	-4.0322	eV per atom

a b c (Å): 5.450 5.450 5.450
angles (deg): 141.13 120.60 73.28
Sites, in units of the cell vectors:
P: 0.211 0.211 0.000
P: 0.789 0.789 0.000
Pb: 0.500 0.000 0.500
Se: 0.000 0.500 0.500